A plane-wave DFT calculation with PBE was carried out for a relaxed CaTc crystal.

a = 4.0669 Å, b = 4.0669 Å, c = 8.2589 Å
α = 90.00°, β = 90.00°, γ = 120.00°
Closest atoms and distances in Å follow each position.
Sites, in units of the cell vectors:
Ca 0.3333 0.6667 0.9046  6 Tc 3.07-3.33
Tc 0.6667 0.3333 0.6185  3 Tc 2.38
Tc 0.0000 0.0000 0.6653  3 Tc 2.38
Ca 0.0000 0.0000 0.3202  1 Tc 2.85

- uncorrected energy (Ha/atom) = -0.2147
- density (g cm⁻³) = 3.88
- energy relative to the lowest polymorph listed for this composition (kJ per mole of atoms) = 12.3